Record 1
Here is a relaxed Nd3ScCu4 crystal from the Alexandria database. Energies are from GGA-PBE.

## Properties
V ... 21.584 Å³/atom
ΔH_f (0 K) ... -0.16 eV per atom
Energy ... -4.785 eV/atom
N(E_F) ... 6.78 states/eV per cell

Lattice parameters (Å, degrees): 3.492 3.492 14.162 90.00 90.00 90.00
Fractional positions:
Nd1 0.000 0.000 0.000
Nd2 0.000 0.000 0.260
Nd3 0.000 0.000 0.740
Sc1 0.000 0.000 0.500
Cu1 0.500 0.500 0.129
Cu2 0.500 0.500 0.401
Cu3 0.500 0.500 0.599
Cu4 0.500 0.500 0.871



Record 2
Here is a relaxed NdScCu2 crystal from the Alexandria database. Energies are from GGA-PBE.

## Properties
V ... 21.107 Å³/atom
ΔH_f (0 K) ... -0.18 eV per atom
Energy ... -5.002 eV/atom
N(E_F) ... 2.52 states/eV per cell

Lattice parameters (Å, degrees): 5.299 5.299 5.299 51.60 51.60 51.60
Fractional positions:
Nd1 0.000 0.000 0.000
Sc1 0.500 0.500 0.500
Cu1 0.211 0.211 0.211
Cu2 0.789 0.789 0.789



Record 3
Here is a relaxed NdScCu2 crystal from the Alexandria database. Energies are from GGA-PBE.

## Properties
V ... 19.991 Å³/atom
ΔH_f (0 K) ... -0.20 eV per atom
Energy ... -5.021 eV/atom
N(E_F) ... 2.31 states/eV per cell

Lattice parameters (Å, degrees): 3.380 3.380 7.000 90.00 90.00 90.00
Fractional positions:
Nd1 0.000 0.000 0.000
Sc1 0.000 0.000 0.500
Cu1 0.500 0.500 0.294
Cu2 0.500 0.500 0.706



Record 4
Here is a relaxed Nd2ScCu9 crystal from the Alexandria database. Energies are from GGA-PBE.

## Properties
V ... 16.111 Å³/atom
ΔH_f (0 K) ... -0.12 eV per atom
Energy ... -4.513 eV/atom
N(E_F) ... 8.16 states/eV per cell

Lattice parameters (Å, degrees): 9.034 9.034 9.034 32.88 32.88 32.88
Fractional positions:
Nd1 0.137 0.137 0.137
Nd2 0.863 0.863 0.863
Sc1 0.000 0.000 0.000
Cu1 0.080 0.578 0.578
Cu2 0.332 0.332 0.332
Cu3 0.422 0.422 0.920
Cu4 0.422 0.920 0.422
Cu5 0.500 0.500 0.500
Cu6 0.578 0.080 0.578
Cu7 0.578 0.578 0.080
Cu8 0.668 0.668 0.668
Cu9 0.920 0.422 0.422